DFT (PBE-GGA) results for a geometry-optimized CeNi3Ir structure.

```
10
Lattice="4.354 0.000 0.000 0.000 8.115 -2.260 0.000 -5.689 6.213" Properties=species:S:1:pos:R:3 pbc="T T T"
Ce 3.265 2.494 1.190
Ce 1.088 -0.068 2.763
Ni 3.265 3.625 -0.927
Ni 3.265 4.894 1.141
Ni 1.088 -2.468 2.812
Ni 1.088 -1.198 4.880
Ni 0.000 0.000 0.000
Ni 2.177 0.000 0.000
Ir 3.265 6.180 -1.072
Ir 1.088 -3.754 5.025
```

Results
Formation enthalpy at 0 K: -0.026 eV/atom
Symmetry: Cmcm (63)

DFT (PBE-GGA) results for a geometry-optimized Sc3VCl structure.

```
5
Lattice="5.017 0.000 0.000 0.000 5.017 0.000 0.000 0.000 5.017" Properties=species:S:1:pos:R:3 pbc="T T T"
Sc 0.000 2.508 0.000
Sc 0.000 0.000 2.508
Sc 2.508 0.000 0.000
V 0.000 0.000 0.000
Cl 2.508 2.508 2.508
```

Results
E_form (uncorrected): 2.049 eV/f.u.
Energy relative to the lowest polymorph listed for this composition: 0.4542 eV per atom
Symmetry: Pm-3m (221)

DFT (PBE-GGA) results for a geometry-optimized UAlMo2 structure.

```
4
Lattice="3.229 0.000 0.000 1.615 2.797 0.000 1.615 0.932 8.928" Properties=species:S:1:pos:R:3 pbc="T T T"
Mo 1.615 0.932 6.311
Mo 4.844 2.797 2.617
U 3.229 1.864 4.464
Al 0.000 0.000 0.000
```

Results
Formation enthalpy at 0 K: 0.718 eV/atom
Energy relative to the lowest polymorph listed for this composition: 0.7701 eV per atom
Symmetry: R-3m (166)

DFT (PBE-GGA) results for a geometry-optimized PuMn2Si2 structure.

```
5
Lattice="3.857 0.000 0.000 0.000 3.857 0.000 -1.928 -1.928 5.229" Properties=species:S:1:pos:R:3 pbc="T T T"
Pu 0.000 0.000 0.000
Mn 1.928 0.000 2.614
Mn 0.000 1.928 2.614
Si 1.928 1.928 1.242
Si 0.000 0.000 3.986
```

Results
E_form (uncorrected): -2.145 eV/f.u.
Symmetry: I4/mmm (139)

DFT (PBE-GGA) results for a geometry-optimized SnSbIO2 structure.

```
5
Lattice="-3.359 2.067 1.471 1.279 -0.728 3.944 3.425 5.619 -0.073" Properties=species:S:1:pos:R:3 pbc="T T T"
I 1.712 2.809 -0.037
Sb 0.672 3.479 2.671
Sn 0.000 0.000 0.000
O 0.640 -0.364 1.972
O -1.680 1.033 0.735
```

Results
E_form (uncorrected): -0.767 eV/f.u.
Symmetry: P4/mmm (123)

DFT (PBE-GGA) results for a geometry-optimized InRe2Mo structure.

```
4
Lattice="2.896 0.000 0.000 0.000 4.073 0.000 0.000 0.000 5.708" Properties=species:S:1:pos:R:3 pbc="T T T"
In 1.448 2.037 1.427
Mo 1.448 2.037 4.281
Re 0.000 0.000 5.507
Re 0.000 0.000 3.056
```

Results
Formation enthalpy at 0 K: 0.400 eV/atom
Symmetry: Pmmm (47)

DFT (PBE-GGA) results for a geometry-optimized TiSbTe2Os structure.

```
5
Lattice="-3.772 -3.828 -0.058 0.554 -0.465 -5.326 3.483 -3.442 0.663" Properties=species:S:1:pos:R:3 pbc="T T T"
Sb 1.741 -1.721 0.332
Te 0.277 -0.233 -2.663
Te -1.886 -1.914 -0.029
Os 0.000 0.000 0.000
Ti 0.132 -3.868 -2.360
```

Results
E_form (uncorrected): 4.300 eV/f.u.
Energy relative to the lowest polymorph listed for this composition: 0.0000 eV per atom
Symmetry: P4/mmm (123)

DFT (PBE-GGA) results for a geometry-optimized CsVPb3 structure.

```
5
Lattice="6.200 0.000 0.000 0.000 6.200 0.000 0.000 0.000 6.200" Properties=species:S:1:pos:R:3 pbc="T T T"
Pb 0.000 3.100 0.000
Pb 0.000 0.000 3.100
Pb 3.100 0.000 0.000
Cs 0.000 0.000 0.000
V 3.100 3.100 3.100
```

Results
Formation enthalpy at 0 K: 1.820 eV/atom
Energy relative to the lowest polymorph listed for this composition: 1.6958 eV per atom
Symmetry: Pm-3m (221)

DFT (PBE-GGA) results for a geometry-optimized Dy4BiSe2S structure.

```
16
Lattice="-3.153 7.409 2.000 -7.476 -3.457 0.995 6.520 -2.978 4.153" Properties=species:S:1:pos:R:3 pbc="T T T"
Dy 0.228 -3.643 5.291
Dy -1.004 3.310 3.950
Dy -3.104 -2.336 3.198
Dy -4.336 4.617 1.857
Dy -7.809 3.018 2.332
Dy -4.787 1.638 4.257
Dy 0.679 -0.664 2.891
Dy 3.700 -2.044 4.816
Bi -2.054 0.487 3.574
Bi 3.367 4.431 6.153
Se -1.576 3.704 1.000
Se 1.684 2.215 3.076
Se 3.260 -1.489 2.077
Se -5.314 1.976 1.497
S -3.738 -1.728 0.498
S -3.631 4.191 4.574
```

Results
E_form (uncorrected): -12.277 eV/f.u.
Symmetry: Imma (74)

DFT (PBE-GGA) results for a geometry-optimized SmGdDyRu structure.

```
4
Lattice="-0.934 -5.050 0.789 3.132 -3.579 -2.091 3.161 -2.782 3.043" Properties=species:S:1:pos:R:3 pbc="T T T"
Ru 1.340 -2.853 0.435
Gd 2.680 -5.706 0.871
Sm 0.000 0.000 0.000
Dy 4.019 -8.559 1.306
```

Results
Formation enthalpy at 0 K: 0.133 eV/atom
Symmetry: F-43m (216)

DFT (PBE-GGA) results for a geometry-optimized Os3Au4 structure.

```
7
Lattice="-1.408 1.408 14.598 1.408 -1.408 14.598 1.408 1.408 -14.598" Properties=species:S:1:pos:R:3 pbc="T T T"
Os 0.000 0.000 0.000
Os 0.000 0.000 21.084
Os 0.000 0.000 8.112
Au 0.000 0.000 24.872
Au 0.000 0.000 16.644
Au 0.000 0.000 12.552
Au 0.000 0.000 4.323
```

Results
Formation enthalpy at 0 K: 0.427 eV/atom
Symmetry: I4/mmm (139)

DFT (PBE-GGA) results for a geometry-optimized FeGeHRu2 structure.

```
5
Lattice="3.990 0.000 0.000 0.000 3.990 0.000 0.000 0.000 3.536" Properties=species:S:1:pos:R:3 pbc="T T T"
Ru 0.000 1.995 0.000
Ru 1.995 0.000 0.000
Ge 1.995 1.995 1.768
Fe 0.000 0.000 1.768
H 0.000 0.000 0.000
```

Results
Symmetry: P4/mmm (123)

DFT (PBE-GGA) results for a geometry-optimized BaLa3Hf structure.

```
5
Lattice="6.005 0.000 0.000 0.000 6.005 0.000 0.000 0.000 6.005" Properties=species:S:1:pos:R:3 pbc="T T T"
Hf 0.000 0.000 0.000
Ba 3.003 3.003 3.003
La 0.000 3.003 0.000
La 0.000 0.000 3.003
La 3.003 0.000 0.000
```

Results
Formation enthalpy at 0 K: 0.405 eV/atom
Energy relative to the lowest polymorph listed for this composition: 0.0000 eV per atom
Symmetry: Pm-3m (221)

DFT (PBE-GGA) results for a geometry-optimized HfWSe2N structure.

```
5
Lattice="-1.182 -5.096 0.316 3.334 -1.016 -3.914 2.893 -0.510 2.597" Properties=species:S:1:pos:R:3 pbc="T T T"
Hf 0.000 0.000 0.000
Se 1.667 -0.508 -1.957
Se -0.591 -2.548 0.158
W 2.522 -3.311 -0.500
N 1.447 -0.255 1.298
```

Results
E_form (uncorrected): 3.419 eV/f.u.
Energy relative to the lowest polymorph listed for this composition: 0.5215 eV per atom
Symmetry: P4/mmm (123)

DFT (PBE-GGA) results for a geometry-optimized LaPm2ScSb4 structure.

```
8
Lattice="4.462 0.000 0.000 0.000 7.697 0.130 0.000 -2.695 7.232" Properties=species:S:1:pos:R:3 pbc="T T T"
La 2.231 3.849 0.065
Pm 2.231 -1.347 3.616
Pm 0.000 2.501 3.681
Sc 0.000 0.000 0.000
Sb 2.231 1.158 1.751
Sb 2.231 3.844 5.611
Sb 0.000 -0.192 5.474
Sb 0.000 5.194 1.888
```

Results
E_form (uncorrected): -8.865 eV/f.u.
Symmetry: P2/m (10)

DFT (PBE-GGA) results for a geometry-optimized CoTc structure.

```
4
Lattice="-0.901 3.270 1.356 -3.236 -1.327 1.050 1.465 -0.963 3.297" Properties=species:S:1:pos:R:3 pbc="T T T"
Co -0.302 0.004 2.249
Co -2.370 0.975 3.453
Tc -2.653 -0.178 1.127
Tc -1.485 2.120 1.279
```

Results
Formation enthalpy at 0 K: 0.062 eV/atom
Energy relative to the lowest polymorph listed for this composition: 0.1089 eV per atom
Symmetry: P4/mmm (123)

DFT (PBE-GGA) results for a geometry-optimized Sm2Pu3NpS6 structure.

```
12
Lattice="-1.641 -3.540 -0.697 7.046 -3.486 1.112 -2.682 1.836 8.262" Properties=species:S:1:pos:R:3 pbc="T T T"
Sm 1.538 -4.048 5.667
Sm 1.186 -1.142 3.010
Pu 2.703 -3.513 0.208
Pu -1.974 -2.307 5.096
Pu 4.697 -2.883 3.581
Np -0.821 -1.770 -0.349
S 4.158 -3.172 6.319
S 2.152 -3.792 2.924
S -1.435 -2.018 2.358
S -2.570 -2.563 7.797
S 5.293 -2.627 0.880
S 0.571 -1.398 5.754
```

Results
E_form (uncorrected): -21.586 eV/f.u.
Symmetry: C2/m (12)

DFT (PBE-GGA) results for a geometry-optimized Ho3Ga4Ni2 structure.

```
9
Lattice="-0.190 -2.673 3.362 4.397 3.444 0.238 -6.422 4.191 2.969" Properties=species:S:1:pos:R:3 pbc="T T T"
Ho -3.377 2.088 4.218
Ho 0.000 0.000 0.000
Ho 1.162 2.874 2.351
Ga 1.334 -0.092 2.752
Ga -3.549 5.054 3.817
Ga -0.433 2.810 4.959
Ga -1.781 2.152 1.610
Ni -0.835 0.764 3.309
Ni -1.380 4.198 3.259
```

Results
Formation enthalpy at 0 K: -0.619 eV/atom
Symmetry: C2/m (12)

DFT (PBE-GGA) results for a geometry-optimized Co3Au structure.

```
4
Lattice="-4.091 -0.639 0.645 -2.516 -0.892 -3.230 -1.608 -3.848 -0.403" Properties=species:S:1:pos:R:3 pbc="T T T"
Au 0.000 0.000 0.000
Co -2.054 -1.345 -0.747
Co -4.107 -2.690 -1.494
Co -6.161 -4.035 -2.241
```

Results
Formation enthalpy at 0 K: 0.289 eV/atom
Symmetry: Fm-3m (225)

DFT (PBE-GGA) results for a geometry-optimized BeAsPbBr2 structure.

```
5
Lattice="-2.498 -3.399 -2.393 3.988 -1.172 -2.498 1.193 -3.312 3.459" Properties=species:S:1:pos:R:3 pbc="T T T"
Pb 1.342 -3.942 -0.716
Be 0.000 0.000 0.000
As 0.596 -1.656 1.729
Br 1.994 -0.586 -1.249
Br -1.249 -1.699 -1.197
```

Results
E_form (uncorrected): -0.279 eV/f.u.
Energy relative to the lowest polymorph listed for this composition: 0.0000 eV per atom
Symmetry: P4/mmm (123)

| no. | VASP energy (eV per atom) | size of the total moment (μB per atom) |
| --- | --- | --- |
| 1 | -6.454 | 0.00 |
| 2 | -5.582 | 0.00 |
| 3 | -8.455 | 0.00 |
| 4 | -9.132 | 1.67 |
| 5 | -4.072 | 0.23 |
| 6 | -9.216 | 0.00 |
| 7 | -5.046 | 0.36 |
| 8 | -2.400 | 0.78 |
| 9 | -5.708 | 0.00 |
| 10 | -8.037 | 1.90 |
| 11 | -6.258 | 0.00 |
| 12 | -6.969 | 0.55 |
| 13 | -4.927 | 0.00 |
| 14 | -6.956 | 0.67 |
| 15 | -5.764 | 0.00 |
| 16 | -8.674 | 0.00 |
| 17 | -9.310 | 1.77 |
| 18 | -4.775 | 0.00 |
| 19 | -5.860 | 1.35 |
| 20 | -3.142 | 0.00 |